NdTmGaRu | Alexandria | GGA-PBE | optimized geometry; relative energy among the computed polymorphs = 5.26 kJ per mole of atoms; space-group type = F-43m; energy of formation from the pure elements = -0.383 eV/atom; Fermi-level density of states = 0.594 states/eV/atom
1.0
0.000 3.527 3.527
3.527 0.000 3.527
3.527 3.527 0.000
Nd Tm Ga Ru
1 1 1 1
Direct
0.000 0.000 0.000
0.500 0.500 0.500
0.750 0.750 0.750
0.250 0.250 0.250